First-principles (PBE+U) data for Ba2AcNi2O7 after structural relaxation, as listed in Alexandria.

```
data_Ba2AcNi2O7
_chemical_formula_sum 'Ba4 Ac2 Ni4 O14'
_space_group_name_H-M_alt 'I 4/m m m'
_space_group_IT_number 139
_space_group_name_Hall '-I 4 2'
_cell_length_a 4.001
_cell_length_b 4.001
_cell_length_c 21.033
_cell_angle_alpha 90.00
_cell_angle_beta 90.00
_cell_angle_gamma 90.00
loop_
_atom_site_label
_atom_site_type_symbol
_atom_site_fract_x
_atom_site_fract_y
_atom_site_fract_z
Ba1 Ba 0.000 0.000 0.181
Ac1 Ac 0.000 0.000 0.000
Ni1 Ni 0.000 0.000 0.405
O1 O 0.000 0.000 0.311
O2 O 0.000 0.000 0.500
O3 O 0.000 0.500 0.088
```

Output
calculated total energy: -141.80 eV for the cell shown
V: 14.026 Å³/atom